# 1
VASP calculation (PBE) on K2PtAu after structural relaxation.

Unit cell a=2.823 b=6.075 c=6.419 alpha=90.00 beta=90.00 gamma=90.00
Fractional coordinates of all 4 atoms:
1 K 0.000 0.000 0.000
2 K 0.500 0.500 0.498
3 Pt 0.000 0.000 0.500
4 Au 0.500 0.500 0.998

Properties
D(E_F) (states/eV/f.u.): 2.36
E_form (eV per atom): 0.071
Relative energy among the computed polymorphs (meV/atom): 225

***

# 2
VASP calculation (PBE) on BaCa4Zr after structural relaxation.

Unit cell a=7.053 b=7.053 c=7.053 alpha=60.00 beta=60.00 gamma=60.00
Fractional coordinates of all 6 atoms:
1 Ba 0.000 0.000 0.000
2 Ca 0.129 0.624 0.624
3 Ca 0.624 0.129 0.624
4 Ca 0.624 0.624 0.129
5 Ca 0.624 0.624 0.624
6 Zr 0.250 0.250 0.250

Properties
D(E_F) (states/eV/f.u.): 12.90
E_form (eV per atom): 0.466

***

# 3
VASP calculation (PBE) on HoTmCdRu after structural relaxation.

Unit cell a=3.430 b=3.430 c=7.626 alpha=90.00 beta=90.00 gamma=90.00
Fractional coordinates of all 4 atoms:
1 Ho 0.000 0.000 0.000
2 Tm 0.000 0.000 0.571
3 Cd 0.500 0.500 0.289
4 Ru 0.500 0.500 0.782

Properties
D(E_F) (states/eV/f.u.): 2.99
E_form (eV per atom): -0.444
Relative energy among the computed polymorphs (meV/atom): 0